# 1
{"formula": "Sc2AlBiC", "functional": "GGA-PBE", "state": "relaxed", "lattice_angstrom": [[4.725, 0.000, 0.000], [0.000, 4.725, 0.000], [0.000, 0.000, 4.045]], "species": ["Sc", "Sc", "C", "Bi", "Al"], "frac_coords": [[0.000, 0.500, 0.000], [0.500, 0.000, 0.000], [0.000, 0.000, 0.000], [0.500, 0.500, 0.500], [0.000, 0.000, 0.500]], "magnetic_moment_mub_per_fu": 0.00, "dos_ef_per_ev_cell": 2.65, "delta_e_f_ev_per_fu": -2.04, "mass_density_g_cm3": 6.21}

***

# 2
{"formula": "LaZnNiPt", "functional": "GGA-PBE", "state": "relaxed", "lattice_angstrom": [[4.346, 0.000, 0.000], [-2.173, 3.760, -0.008], [0.000, -2.510, 4.872]], "species": ["La", "Zn", "Ni", "Pt"], "frac_coords": [[0.618, 0.236, 0.496], [0.122, 0.244, 0.008], [0.815, 0.630, 0.088], [0.411, 0.822, 0.875]], "magnetic_moment_mub_per_fu": 0.00, "dos_ef_per_ev_cell": 2.41, "delta_e_f_ev_per_fu": -2.67, "mass_density_g_cm3": 9.56}

***

# 3
{"formula": "K4CePm3O8", "functional": "GGA-PBE", "state": "relaxed", "lattice_angstrom": [[7.242, 0.000, 0.000], [0.000, 7.554, 0.213], [-3.621, -3.616, 5.123]], "species": ["K", "K", "K", "K", "Ce", "Pm", "Pm", "Pm", "O", "O", "O", "O", "O", "O", "O", "O"], "frac_coords": [[0.500, 0.000, 0.000], [0.500, 0.000, 0.500], [0.000, 0.000, 0.000], [0.000, 0.000, 0.500], [0.000, 0.500, 0.000], [0.500, 0.500, 0.000], [0.500, 0.500, 0.500], [0.000, 0.500, 0.500], [0.230, 0.690, 0.960], [0.230, 0.690, 0.460], [0.270, 0.310, 0.540], [0.729, 0.690, 0.960], [0.271, 0.310, 0.040], [0.730, 0.690, 0.460], [0.770, 0.310, 0.540], [0.770, 0.310, 0.040]], "magnetic_moment_mub_per_fu": 0.98, "raw_formation_energy_kj_per_mol_fu": -4062, "dos_ef_per_ev_cell": 3.51, "mass_density_g_cm3": 4.99}

***

# 4
{"formula": "Th4IrAuS2", "functional": "GGA-PBE", "state": "relaxed", "lattice_angstrom": [[-1.510, -3.844, 0.150], [4.585, -1.583, 5.599], [-3.306, 1.539, 6.158]], "species": ["Th", "Th", "Th", "Th", "Ir", "Au", "S", "S"], "frac_coords": [[0.000, 0.742, 0.764], [0.000, 0.258, 0.236], [0.500, 0.755, 0.233], [0.500, 0.245, 0.767], [0.500, 0.500, 0.000], [0.000, 0.500, 0.500], [0.000, 0.000, 0.000], [0.500, 0.000, 0.500]], "magnetic_moment_mub_per_fu": 0.00, "raw_formation_energy_kj_per_mol_fu": -953, "dos_ef_per_ev_cell": 5.03, "mass_density_g_cm3": 11.05}

***

# 5
{"formula": "NaCd4Ag7", "functional": "GGA-PBE", "state": "relaxed", "lattice_angstrom": [[-3.487, 3.537, -1.364], [-7.475, -1.450, 5.626], [0.339, 5.198, 2.886]], "species": ["Na", "Cd", "Cd", "Cd", "Cd", "Ag", "Ag", "Ag", "Ag", "Ag", "Ag", "Ag"], "frac_coords": [[0.000, 0.000, 0.000], [0.592, 0.225, 0.591], [0.408, 0.775, 0.409], [0.727, 0.687, 0.859], [0.273, 0.313, 0.141], [0.788, 0.914, 0.509], [0.212, 0.086, 0.491], [0.041, 0.622, 0.295], [0.959, 0.378, 0.705], [0.350, 0.535, 0.764], [0.500, 0.000, 0.000], [0.650, 0.465, 0.236]], "de_polymorph_ev_per_fu": 0.65, "magnetic_moment_mub_per_fu": 0.00, "dos_ef_per_ev_cell": 4.41, "delta_e_f_ev_per_fu": 0.63, "mass_density_g_cm3": 8.09}

***

# 6
{"formula": "Li3Ac2ScSb4", "functional": "GGA-PBE", "state": "relaxed", "lattice_angstrom": [[4.727, 0.000, 0.000], [0.000, 4.727, 0.000], [0.000, 0.000, 11.630]], "species": ["Li", "Li", "Li", "Ac", "Ac", "Sc", "Sb", "Sb", "Sb", "Sb"], "frac_coords": [[0.000, 0.000, 0.500], [0.500, 0.000, 0.882], [0.000, 0.500, 0.118], [0.500, 0.000, 0.228], [0.000, 0.500, 0.772], [0.500, 0.500, 0.500], [0.500, 0.500, 0.000], [0.000, 0.000, 0.000], [0.500, 0.000, 0.651], [0.000, 0.500, 0.349]], "magnetic_moment_mub_per_fu": 0.00, "raw_formation_energy_kj_per_mol_fu": -739, "dos_ef_per_ev_cell": 6.76, "mass_density_g_cm3": 6.43}